# 1
VASP calculation (GGA-PBE) on a geometry-optimized Pu3Th2Bi4 structure.

Geometry as POSCAR:
```
Pu3Th2Bi4
1.0
4.448 -0.003 -1.251
-0.957 7.164 -3.413
0.380 -2.094 9.885
Pu Th Bi
3 2 4
Cartesian
-0.026 4.131 -0.097
3.897 0.935 5.318
0.000 0.000 0.000
2.764 1.509 1.285
1.108 3.558 3.935
1.615 5.263 -2.799
1.064 0.265 3.776
2.256 -0.197 8.019
2.808 4.802 1.444
```

## Properties
**D(E_F)**: 32.38 states/eV per cell
**M_tot**: 17.9 μB per formula unit
**ΔH_f (0 K)**: -0.316 eV/atom
**ρ**: 11.878 g/cm3
**V**: 31.6 Å³/atom

# 2
VASP calculation (GGA-PBE) on a geometry-optimized TmPuTh2Bi5 structure.

Geometry as POSCAR:
```
TmPuTh2Bi5
1.0
5.392 0.000 0.000
0.000 5.392 0.000
0.000 0.000 11.782
Tm Pu Th Bi
1 1 2 5
Cartesian
0.000 0.000 5.891
0.000 0.000 0.000
2.696 2.696 3.534
2.696 2.696 8.248
0.000 2.696 5.891
2.696 0.000 5.891
0.000 0.000 8.830
0.000 0.000 2.952
2.696 2.696 0.000
```

## Properties
**D(E_F)**: 21.57 states/eV per cell
**M_tot**: 5.1 μB per formula unit
**ΔH_f (0 K)**: 0.114 eV/atom
**ρ**: 9.316 g/cm3
**V**: 38.1 Å³/atom

# 3
VASP calculation (GGA-PBE) on a geometry-optimized PuTi2Bi structure.

Geometry as POSCAR:
```
PuTi2Bi
1.0
-2.842 -2.028 -2.025
2.875 -0.539 -3.495
1.486 -3.904 1.824
Ti Bi Pu
2 1 1
Cartesian
0.743 -1.952 0.912
1.438 -0.269 -1.748
0.760 -3.236 -1.848
-1.421 -1.014 -1.013
```

## Properties
**D(E_F)**: 7.03 states/eV per cell
**M_tot**: 5.9 μB per formula unit
**ΔH_f (0 K)**: -0.031 eV/atom
**ρ**: 10.864 g/cm3
**V**: 21.0 Å³/atom

# 4
VASP calculation (GGA-PBE) on a geometry-optimized PuTiBi structure.

Geometry as POSCAR:
```
PuTiBi
1.0
-0.294 3.747 0.183
-4.111 -0.196 -2.587
-0.167 -0.250 4.852
Ti Bi Pu
1 1 1
Cartesian
-1.531 0.390 2.403
-0.049 0.626 0.031
-2.992 2.284 0.015
```

## Properties
**D(E_F)**: 8.58 states/eV per cell
**M_tot**: 7.0 μB per formula unit
**ΔH_f (0 K)**: 0.063 eV/atom
**ρ**: 10.801 g/cm3
**V**: 25.7 Å³/atom

# 5
VASP calculation (GGA-PBE) on a geometry-optimized PuTiBi structure.

Geometry as POSCAR:
```
PuTiBi
1.0
-2.107 2.156 2.247
-3.729 -0.971 -2.566
0.427 -5.430 5.610
Bi Pu Ti
2 2 2
Cartesian
-1.918 0.226 2.702
-3.491 -4.471 2.589
-2.880 -3.732 5.598
-2.529 -0.513 -0.307
-4.140 -1.727 2.493
-1.270 -2.518 2.798
```

## Properties
**D(E_F)**: 10.41 states/eV per cell
**M_tot**: 0.0 μB per formula unit
**ΔH_f (0 K)**: 0.084 eV/atom
**ρ**: 12.795 g/cm3
**V**: 21.7 Å³/atom

# 6
VASP calculation (GGA-PBE) on a geometry-optimized Pu4TlBi2 structure.

Geometry as POSCAR:
```
Pu4TlBi2
1.0
-2.375 3.345 4.340
3.780 -2.423 3.937
3.363 3.959 -5.321
Pu Tl Bi
4 1 2
Cartesian
0.845 3.883 1.579
3.923 0.998 1.378
-1.188 1.673 2.170
1.890 -1.212 1.969
0.000 0.000 0.000
1.841 1.699 3.807
2.926 3.182 -0.851
```

## Properties
**D(E_F)**: 44.64 states/eV per cell
**M_tot**: 0.3 μB per formula unit
**ΔH_f (0 K)**: 0.219 eV/atom
**ρ**: 12.159 g/cm3
**V**: 31.2 Å³/atom

# 7
VASP calculation (GGA-PBE) on a geometry-optimized PuTl2Bi structure.

Geometry as POSCAR:
```
PuTl2Bi
1.0
-0.960 3.327 -2.188
1.921 -1.585 -3.252
-5.923 -3.037 -2.020
Tl Bi Pu
2 1 1
Cartesian
-4.504 -2.310 -1.536
-1.419 -0.728 -0.484
0.481 0.871 -2.720
-2.481 -0.647 -3.730
```

## Properties
**D(E_F)**: 10.33 states/eV per cell
**M_tot**: 6.3 μB per formula unit
**ΔH_f (0 K)**: 0.022 eV/atom
**ρ**: 12.259 g/cm3
**V**: 29.2 Å³/atom

# 8
VASP calculation (GGA-PBE) on a geometry-optimized Pu2TlBi structure.

Geometry as POSCAR:
```
Pu2TlBi
1.0
-0.024 -2.414 -2.435
2.645 -1.562 1.523
-6.021 -5.155 5.171
Tl Bi Pu
1 1 2
Cartesian
-1.700 -4.566 2.129
1.311 -1.988 -0.456
-4.501 -3.854 3.866
-1.520 -1.301 1.305
```

## Properties
**D(E_F)**: 14.28 states/eV per cell
**M_tot**: 11.9 μB per formula unit
**ΔH_f (0 K)**: -0.171 eV/atom
**ρ**: 13.454 g/cm3
**V**: 27.8 Å³/atom

# 9
VASP calculation (GGA-PBE) on a geometry-optimized PuTl2Bi5 structure.

Geometry as POSCAR:
```
PuTl2Bi5
1.0
6.379 1.056 -2.812
-2.348 6.023 -2.814
-0.625 -1.094 6.887
Pu Tl Bi
1 2 5
Cartesian
3.136 5.507 -4.376
-0.366 4.433 0.473
3.997 1.949 0.473
0.808 1.421 1.880
-0.053 4.978 -2.970
3.685 1.402 3.917
2.824 4.959 -0.933
0.494 0.870 5.326
```

## Properties
**D(E_F)**: 13.70 states/eV per cell
**M_tot**: 5.7 μB per formula unit
**ΔH_f (0 K)**: -0.047 eV/atom
**ρ**: 11.456 g/cm3
**V**: 30.8 Å³/atom

# 10
VASP calculation (GGA-PBE) on a geometry-optimized Pu2Tl3Bi3 structure.

Geometry as POSCAR:
```
Pu2Tl3Bi3
1.0
5.021 0.000 0.000
0.000 4.821 0.000
0.000 0.000 9.575
Pu Tl Bi
2 3 3
Cartesian
0.000 0.000 7.144
0.000 0.000 2.431
2.510 2.410 7.239
2.510 2.410 2.335
2.510 0.000 0.000
2.510 0.000 4.787
0.000 2.410 0.000
0.000 2.410 4.787
```

## Properties
**D(E_F)**: 22.38 states/eV per cell
**M_tot**: 11.5 μB per formula unit
**ΔH_f (0 K)**: -0.195 eV/atom
**ρ**: 12.384 g/cm3
**V**: 29.0 Å³/atom

# 11
VASP calculation (GGA-PBE) on a geometry-optimized PuTl2Bi structure.

Geometry as POSCAR:
```
PuTl2Bi
1.0
5.538 0.000 0.000
2.769 4.796 0.000
2.769 1.599 4.522
Tl Bi Pu
2 1 1
Cartesian
2.769 1.599 1.131
8.308 4.796 3.392
0.000 0.000 0.000
5.538 3.198 2.261
```

## Properties
**D(E_F)**: 15.13 states/eV per cell
**M_tot**: 6.2 μB per formula unit
**ΔH_f (0 K)**: 0.015 eV/atom
**ρ**: 11.912 g/cm3
**V**: 30.0 Å³/atom

# 12
VASP calculation (GGA-PBE) on a geometry-optimized Pu2TlBi structure.

Geometry as POSCAR:
```
Pu2TlBi
1.0
-2.857 3.421 1.320
-3.858 -2.648 -1.488
-0.343 -2.011 4.467
Tl Bi Pu
1 1 2
Cartesian
-1.429 1.710 0.660
-3.529 -0.619 2.150
-0.171 -1.005 2.234
-1.929 -1.324 -0.744
```

## Properties
**D(E_F)**: 15.02 states/eV per cell
**M_tot**: 12.0 μB per formula unit
**ΔH_f (0 K)**: -0.219 eV/atom
**ρ**: 13.351 g/cm3
**V**: 28.0 Å³/atom

# 13
VASP calculation (GGA-PBE) on a geometry-optimized PuTl2Bi structure.

Geometry as POSCAR:
```
PuTl2Bi
1.0
3.478 0.000 0.000
1.739 3.012 0.000
1.739 1.004 12.154
Tl Bi Pu
2 1 1
Cartesian
1.739 1.004 8.900
5.217 3.012 3.254
3.478 2.008 6.077
0.000 0.000 0.000
```

## Properties
**D(E_F)**: 10.95 states/eV per cell
**M_tot**: 6.5 μB per formula unit
**ΔH_f (0 K)**: 0.222 eV/atom
**ρ**: 11.238 g/cm3
**V**: 31.8 Å³/atom

# 14
VASP calculation (GGA-PBE) on a geometry-optimized Pu2TlBi structure.

Geometry as POSCAR:
```
Pu2TlBi
1.0
-1.603 3.131 -0.503
-2.338 1.203 2.391
6.598 6.340 5.902
Pu Tl Bi
2 1 1
Cartesian
4.636 5.126 4.595
0.647 2.657 1.936
1.327 5.336 3.895
-2.625 2.891 1.260
```

## Properties
**D(E_F)**: 14.75 states/eV per cell
**M_tot**: 0.0 μB per formula unit
**ΔH_f (0 K)**: -0.027 eV/atom
**ρ**: 12.797 g/cm3
**V**: 29.2 Å³/atom

# 15
VASP calculation (GGA-PBE) on a geometry-optimized Pu2TlBi2 structure.

Geometry as POSCAR:
```
Pu2TlBi2
1.0
5.526 0.000 0.000
-2.763 4.786 0.000
0.000 0.000 6.466
Pu Tl Bi
2 1 2
Cartesian
0.000 3.191 1.461
2.763 1.595 5.005
0.000 0.000 0.000
0.000 3.191 4.652
2.763 1.595 1.814
```

## Properties
**D(E_F)**: 28.45 states/eV per cell
**M_tot**: 11.0 μB per formula unit
**ΔH_f (0 K)**: -0.146 eV/atom
**ρ**: 10.782 g/cm3
**V**: 34.2 Å³/atom

# 16
VASP calculation (GGA-PBE) on a geometry-optimized PuTl2Bi structure.

Geometry as POSCAR:
```
PuTl2Bi
1.0
5.141 0.000 0.000
0.000 4.718 0.000
0.000 0.000 4.718
Tl Bi Pu
2 1 1
Cartesian
0.000 0.000 2.359
0.000 2.359 0.000
2.570 0.000 0.000
2.570 2.359 2.359
```

## Properties
**D(E_F)**: 11.30 states/eV per cell
**M_tot**: 5.7 μB per formula unit
**ΔH_f (0 K)**: -0.171 eV/atom
**ρ**: 12.505 g/cm3
**V**: 28.6 Å³/atom

# 17
VASP calculation (GGA-PBE) on a geometry-optimized Pu2TlBi structure.

Geometry as POSCAR:
```
Pu2TlBi
1.0
-5.228 -1.511 0.050
-1.319 -5.209 0.862
-2.363 -1.471 4.677
Tl Bi Pu
1 1 2
Cartesian
-4.456 -4.095 2.794
0.000 0.000 0.000
-2.228 -2.048 1.397
-6.683 -6.143 4.192
```

## Properties
**D(E_F)**: 18.43 states/eV per cell
**M_tot**: 12.5 μB per formula unit
**ΔH_f (0 K)**: -0.134 eV/atom
**ρ**: 13.130 g/cm3
**V**: 28.5 Å³/atom

# 18
VASP calculation (GGA-PBE) on a geometry-optimized Pu2TlBi structure.

Geometry as POSCAR:
```
Pu2TlBi
1.0
-0.809 -2.084 -2.682
-2.355 -2.544 0.414
-9.036 5.364 -3.713
Tl Bi Pu
1 1 2
Cartesian
-6.100 0.368 -2.990
0.000 0.000 0.000
-3.061 0.193 -1.499
-9.139 0.543 -4.481
```

## Properties
**D(E_F)**: 16.96 states/eV per cell
**M_tot**: 12.3 μB per formula unit
**ΔH_f (0 K)**: -0.006 eV/atom
**ρ**: 12.936 g/cm3
**V**: 28.9 Å³/atom

# 19
VASP calculation (GGA-PBE) on a geometry-optimized Tm5PuBi4 structure.

Geometry as POSCAR:
```
Tm5PuBi4
1.0
-2.464 -3.055 -1.986
-0.828 -3.685 6.698
-6.087 9.420 -2.066
Tm Pu Bi
5 1 4
Cartesian
-6.362 0.768 1.841
-5.873 2.456 -1.363
-3.507 0.223 4.009
-1.646 -3.370 2.356
-3.018 1.911 0.805
-1.232 -1.528 -0.993
-5.346 5.518 -1.855
-8.163 2.980 0.673
-4.033 -2.839 4.501
-1.217 -0.301 1.973
```

## Properties
**D(E_F)**: 20.35 states/eV per cell
**M_tot**: 7.7 μB per formula unit
**ΔH_f (0 K)**: -0.415 eV/atom
**ρ**: 9.786 g/cm3
**V**: 32.7 Å³/atom

# 20
VASP calculation (GGA-PBE) on a geometry-optimized TmPuBi structure.

Geometry as POSCAR:
```
TmPuBi
1.0
-2.675 0.582 2.427
-1.083 -5.178 0.048
3.523 1.997 3.404
Tm Bi Pu
1 1 1
Cartesian
-0.201 -2.644 1.760
-0.162 0.035 0.147
0.128 0.010 3.973
```

## Properties
**D(E_F)**: 8.12 states/eV per cell
**M_tot**: 6.5 μB per formula unit
**ΔH_f (0 K)**: -0.124 eV/atom
**ρ**: 11.645 g/cm3
**V**: 29.6 Å³/atom